Record 1
The following is a DFT calculation (PBE) of a geometry-optimized Ga2P2Br structure.

Structure (POSCAR):
```
Ga2P2Br
1.0
-2.073 2.073 5.674
2.073 -2.073 5.674
2.073 2.073 -5.674
Ga P Br
2 2 1
Direct
0.111 0.111 0.000
0.889 0.889 0.000
0.250 0.750 0.500
0.750 0.250 0.500
0.500 0.500 0.000
```

For the volume, the calculation gives 19.5 Å³ per atom. Its density is 4.789 g/cm3. Its uncorrected formation energy is 0.12 eV per atom. The space-group type is No. 139. The value obtained for the final energy is -0.2637 Ry/atom.

Record 2
The following is a DFT calculation (PBE) of a geometry-optimized Ce5PrIn6 structure.

Structure (POSCAR):
```
Ce5PrIn6
1.0
-2.418 4.711 7.274
2.418 -4.711 7.274
2.418 4.711 -7.274
Ce Pr In
5 1 6
Direct
0.000 0.000 0.000
0.168 0.668 0.500
0.324 0.324 0.000
0.676 0.676 0.000
0.832 0.332 0.500
0.500 0.000 0.500
0.086 0.835 0.251
0.250 0.500 0.750
0.416 0.165 0.251
0.584 0.835 0.749
0.750 0.500 0.250
0.914 0.165 0.749
```

For the volume, the calculation gives 27.6 Å³ per atom. Its density is 7.666 g/cm3. The formation energy is -0.378 eV per atom. The space-group type is No. 71. The value obtained for the final energy is -0.3394 Ry/atom.

Record 3
The following is a DFT calculation (PBE) of a geometry-optimized KLiBeIr2 structure.

Structure (POSCAR):
```
KLiBeIr2
1.0
4.356 0.000 0.000
0.000 4.356 0.000
0.000 0.000 4.430
K Li Be Ir
1 1 1 2
Direct
0.000 0.000 0.000
0.000 0.000 0.500
0.500 0.500 0.000
0.000 0.500 0.500
0.500 0.000 0.500
```

For the volume, the calculation gives 16.8 Å³ per atom. Its density is 8.680 g/cm3. The formation energy is 1.328 eV per atom. The space-group type is No. 123. The value obtained for the final energy is -0.2619 Ry/atom.

Record 4
The following is a DFT calculation (PBE) of a geometry-optimized La3Y5Ho3 structure.

Structure (POSCAR):
```
La3Y5Ho3
1.0
11.289 0.000 0.000
-5.645 9.777 0.000
0.000 0.000 3.455
La Y Ho
3 5 3
Direct
0.000 0.661 0.000
0.339 0.339 0.000
0.661 0.000 0.000
0.000 0.162 0.000
0.162 0.000 0.000
0.333 0.667 0.000
0.667 0.333 0.000
0.838 0.838 0.000
0.000 0.408 0.500
0.408 0.000 0.500
0.592 0.592 0.500
```

For the volume, the calculation gives 34.7 Å³ per atom. Its density is 5.905 g/cm3. The formation energy is 0.330 eV per atom. The space-group type is No. 189. The value obtained for the final energy is -0.3822 Ry/atom.

Record 5
The following is a DFT calculation (PBE) of a geometry-optimized NpBiPd2 structure.

Structure (POSCAR):
```
NpBiPd2
1.0
3.313 0.000 0.000
0.000 3.313 0.000
0.000 0.000 7.789
Np Bi Pd
1 1 2
Direct
0.000 0.000 0.000
0.000 0.000 0.500
0.500 0.500 0.246
0.500 0.500 0.754
```

For the volume, the calculation gives 21.4 Å³ per atom. Its density is 12.793 g/cm3. The formation energy is -0.129 eV per atom. The space-group type is No. 123. The value obtained for the final energy is -0.5094 Ry/atom.

Record 6
The following is a DFT calculation (PBE) of a geometry-optimized MoPbCl2 structure.

Structure (POSCAR):
```
MoPbCl2
1.0
1.681 -2.958 0.000
1.681 2.958 0.000
0.000 0.000 9.674
Mo Pb Cl
1 1 2
Direct
0.000 0.000 0.000
0.500 0.500 0.753
0.000 0.000 0.527
0.500 0.500 0.178
```

For the volume, the calculation gives 24.0 Å³ per atom. Its density is 6.457 g/cm3. Its uncorrected formation energy is 0.11 eV per atom. The calculation puts the energy above the most stable polymorph in this dataset at 327.6 meV per atom. The space-group type is No. 35. The value obtained for the final energy is -0.3267 Ry/atom.

Record 7
The following is a DFT calculation (PBE) of a geometry-optimized SrLaMn2P structure.

Structure (POSCAR):
```
SrLaMn2P
1.0
4.440 0.000 0.000
0.000 4.440 0.000
0.000 0.000 5.457
Sr La Mn P
1 1 2 1
Direct
0.000 0.000 0.000
0.500 0.500 0.000
0.000 0.500 0.500
0.500 0.000 0.500
0.500 0.500 0.500
```

For the volume, the calculation gives 21.5 Å³ per atom. Its density is 5.671 g/cm3. The formation energy is 0.426 eV per atom. The space-group type is No. 123. The value obtained for the final energy is -0.4150 Ry/atom.

Record 8
The following is a DFT calculation (PBE) of a geometry-optimized MgAlAg2 structure.

Structure (POSCAR):
```
MgAlAg2
1.0
3.074 0.000 0.000
0.000 4.013 0.000
0.000 0.000 5.764
Mg Al Ag
1 1 2
Direct
0.000 0.000 0.000
0.500 0.500 0.715
0.000 0.000 0.506
0.500 0.500 0.224
```

For the volume, the calculation gives 17.8 Å³ per atom. Its density is 6.235 g/cm3. The formation energy is -0.113 eV per atom. The calculation puts the energy above the most stable polymorph in this dataset at 59.0 meV per atom. The space-group type is No. 25. The value obtained for the final energy is -0.2112 Ry/atom.

Record 9
The following is a DFT calculation (PBE) of a geometry-optimized Mg6Bi2N structure.

Structure (POSCAR):
```
Mg6Bi2N
1.0
0.000 4.557 4.557
4.557 0.000 4.557
4.557 4.557 0.000
Mg Bi N
6 2 1
Direct
0.243 0.243 0.757
0.243 0.757 0.243
0.243 0.757 0.757
0.757 0.243 0.243
0.757 0.243 0.757
0.757 0.757 0.243
0.250 0.250 0.250
0.750 0.750 0.750
0.000 0.000 0.000
```

For the volume, the calculation gives 21.0 Å³ per atom. Its density is 5.071 g/cm3. Its uncorrected formation energy is -0.30 eV per atom. The space-group type is No. 225. The value obtained for the final energy is -0.2313 Ry/atom.

Record 10
The following is a DFT calculation (PBE) of a geometry-optimized CaHoSb2O8 structure.

Structure (POSCAR):
```
CaHoSb2O8
1.0
-2.654 2.654 5.567
2.654 -2.654 5.567
2.654 2.654 -5.567
Ca Ho Sb O
1 1 2 8
Direct
0.000 0.000 0.000
0.250 0.750 0.500
0.500 0.500 0.000
0.750 0.250 0.500
0.031 0.093 0.446
0.228 0.656 0.069
0.344 0.414 0.572
0.416 0.969 0.063
0.586 0.158 0.931
0.647 0.584 0.554
0.842 0.772 0.428
0.907 0.353 0.937
```

For the volume, the calculation gives 13.1 Å³ per atom. Its density is 6.103 g/cm3. Its uncorrected formation energy is -2.02 eV per atom. The space-group type is No. 82. The value obtained for the final energy is -0.4819 Ry/atom.

Record 11
The following is a DFT calculation (PBE) of a geometry-optimized TmHfTe3 structure.

Structure (POSCAR):
```
TmHfTe3
1.0
10.084 0.000 0.000
0.000 4.087 0.000
0.000 0.000 15.968
Tm Hf Te
4 4 12
Direct
0.032 0.250 0.100
0.468 0.750 0.600
0.532 0.250 0.400
0.968 0.750 0.900
0.152 0.250 0.534
0.348 0.750 0.034
0.652 0.250 0.966
0.848 0.750 0.466
0.002 0.750 0.618
0.186 0.750 0.187
0.188 0.250 0.941
0.312 0.750 0.441
0.314 0.250 0.687
0.498 0.250 0.118
0.502 0.750 0.882
0.686 0.750 0.313
0.688 0.250 0.559
0.812 0.750 0.059
0.814 0.250 0.813
0.998 0.250 0.382
```

For the volume, the calculation gives 32.9 Å³ per atom. Its density is 7.370 g/cm3. Its uncorrected formation energy is -0.93 eV per atom. The space-group type is No. 62. The value obtained for the final energy is -0.4191 Ry/atom.

Record 12
The following is a DFT calculation (PBE) of a geometry-optimized KNi2Ru structure.

Structure (POSCAR):
```
KNi2Ru
1.0
4.208 -1.341 0.000
4.208 1.341 0.000
-0.724 0.000 6.693
K Ni Ru
1 2 1
Direct
0.000 0.000 0.000
0.229 0.229 0.665
0.509 0.509 0.498
0.775 0.775 0.379
```

For the volume, the calculation gives 18.9 Å³ per atom. Its density is 5.662 g/cm3. The formation energy is 0.672 eV per atom. The calculation puts the energy above the most stable polymorph in this dataset at 164.8 meV per atom. The space-group type is No. 8. The value obtained for the final energy is -0.3536 Ry/atom.

Record 13
The following is a DFT calculation (PBE) of a geometry-optimized Pr6Si2Ag structure.

Structure (POSCAR):
```
Pr6Si2Ag
1.0
-5.035 5.049 5.219
5.035 -5.049 5.219
5.035 5.049 -5.219
Pr Si Ag
12 4 2
Direct
0.048 0.248 0.799
0.175 0.269 0.444
0.175 0.731 0.906
0.324 0.028 0.704
0.324 0.621 0.296
0.449 0.248 0.201
0.551 0.752 0.799
0.676 0.379 0.704
0.676 0.972 0.296
0.825 0.269 0.094
0.825 0.731 0.556
0.952 0.752 0.201
0.114 0.614 0.500
0.367 0.000 0.367
0.633 0.000 0.633
0.886 0.386 0.500
0.000 0.000 0.000
0.500 0.500 0.000
```

For the volume, the calculation gives 29.5 Å³ per atom. Its density is 6.317 g/cm3. Its uncorrected formation energy is -0.37 eV per atom. The space-group type is No. 71. The value obtained for the final energy is -0.3735 Ry/atom.

Record 14
The following is a DFT calculation (PBE) of a geometry-optimized KYIn structure.

Structure (POSCAR):
```
KYIn
1.0
0.000 3.884 3.884
3.884 0.000 3.884
3.884 3.884 0.000
K Y In
1 1 1
Direct
0.000 0.000 0.000
0.500 0.500 0.500
0.750 0.750 0.750
```

For the volume, the calculation gives 39.1 Å³ per atom. Its density is 3.440 g/cm3. The formation energy is 0.306 eV per atom. The calculation puts the energy above the most stable polymorph in this dataset at 302.5 meV per atom. The space-group type is No. 216. The value obtained for the final energy is -0.2299 Ry/atom.

Record 15
The following is a DFT calculation (PBE) of a geometry-optimized TiTl2InO6 structure.

Structure (POSCAR):
```
TiTl2InO6
1.0
5.441 0.000 0.000
0.000 5.441 0.000
0.000 0.000 5.024
Ti Tl In O
1 2 1 6
Direct
0.000 0.000 0.000
0.000 0.500 0.413
0.500 0.000 0.413
0.500 0.500 0.984
0.000 0.000 0.645
0.239 0.239 0.133
0.239 0.761 0.133
0.500 0.500 0.572
0.761 0.239 0.133
0.761 0.761 0.133
```

For the volume, the calculation gives 14.9 Å³ per atom. Its density is 7.451 g/cm3. Its uncorrected formation energy is -1.38 eV per atom. The space-group type is No. 99. The value obtained for the final energy is -0.4333 Ry/atom.

Record 16
The following is a DFT calculation (PBE) of a geometry-optimized GaCuI2 structure.

Structure (POSCAR):
```
GaCuI2
1.0
-3.591 3.591 5.709
3.591 -3.591 5.709
3.591 3.591 -5.709
Ga Cu I
2 2 4
Direct
0.000 0.000 0.000
0.750 0.250 0.500
0.250 0.750 0.500
0.500 0.500 0.000
0.194 0.625 0.069
0.375 0.444 0.569
0.556 0.125 0.931
0.875 0.806 0.431
```

For the volume, the calculation gives 36.8 Å³ per atom. Its density is 4.365 g/cm3. Its uncorrected formation energy is -0.18 eV per atom. The calculation puts the energy above the most stable polymorph in this dataset at 0.0 meV per atom. The space-group type is No. 122. The value obtained for the final energy is -0.2008 Ry/atom.

Record 17
The following is a DFT calculation (PBE) of a geometry-optimized Ca2PbI structure.

Structure (POSCAR):
```
Ca2PbI
1.0
-4.229 4.229 4.093
4.229 -4.229 4.093
4.229 4.229 -4.093
Ca Pb I
4 2 2
Direct
0.123 0.625 0.998
0.375 0.373 0.498
0.627 0.125 0.002
0.875 0.877 0.502
0.000 0.000 0.000
0.750 0.250 0.500
0.250 0.750 0.500
0.500 0.500 0.000
```

For the volume, the calculation gives 36.6 Å³ per atom. Its density is 4.699 g/cm3. Its uncorrected formation energy is -0.57 eV per atom. The calculation puts the energy above the most stable polymorph in this dataset at 252.8 meV per atom. The space-group type is No. 122. The value obtained for the final energy is -0.2118 Ry/atom.

Record 18
The following is a DFT calculation (PBE) of a geometry-optimized LaHoAl structure.

Structure (POSCAR):
```
LaHoAl
1.0
3.361 -3.361 0.000
3.361 3.361 0.000
-0.047 0.000 8.001
La Ho Al
2 2 2
Direct
0.248 0.248 0.148
0.752 0.752 0.852
0.250 0.750 0.500
0.750 0.250 0.500
0.252 0.252 0.748
0.748 0.748 0.252
```

For the volume, the calculation gives 30.1 Å³ per atom. Its density is 6.078 g/cm3. The formation energy is -0.207 eV per atom. The calculation puts the energy above the most stable polymorph in this dataset at 15.4 meV per atom. The space-group type is No. 12. The value obtained for the final energy is -0.3398 Ry/atom.

Record 19
The following is a DFT calculation (PBE) of a geometry-optimized Mn2PtN2 structure.

Structure (POSCAR):
```
Mn2PtN2
1.0
6.264 0.000 0.000
0.000 6.264 0.000
0.000 0.000 2.897
Mn Pt N
4 2 4
Direct
0.172 0.328 0.000
0.328 0.828 0.000
0.672 0.172 0.000
0.828 0.672 0.000
0.000 0.000 0.500
0.500 0.500 0.500
0.173 0.673 0.500
0.327 0.173 0.500
0.673 0.827 0.500
0.827 0.327 0.500
```

For the volume, the calculation gives 11.4 Å³ per atom. Its density is 9.728 g/cm3. Its uncorrected formation energy is 0.46 eV per atom. The calculation puts the energy above the most stable polymorph in this dataset at 166.5 meV per atom. The space-group type is No. 127. The value obtained for the final energy is -0.5695 Ry/atom.

Record 20
The following is a DFT calculation (PBE) of a geometry-optimized TaSi2Tc2 structure.

Structure (POSCAR):
```
TaSi2Tc2
1.0
6.941 0.000 0.000
0.000 6.941 0.000
0.000 0.000 2.981
Ta Si Tc
2 4 4
Direct
0.000 0.000 0.000
0.500 0.500 0.000
0.139 0.361 0.000
0.361 0.861 0.000
0.639 0.139 0.000
0.861 0.639 0.000
0.153 0.653 0.500
0.347 0.153 0.500
0.653 0.847 0.500
0.847 0.347 0.500
```

For the volume, the calculation gives 14.4 Å³ per atom. Its density is 10.014 g/cm3. Its uncorrected formation energy is -0.40 eV per atom. The calculation puts the energy above the most stable polymorph in this dataset at 0.0 meV per atom. The space-group type is No. 127. The value obtained for the final energy is -0.6675 Ry/atom.